BeCuNi2Ru: optimized geometry, GGA-PBE.

The formation energy comes out at 0.540 eV per atom. As for the magnetization: 1.437 μB/cell. The calculation puts the calculated density at 8.2 Mg/m³. As for the total energy: -5.1923 eV/atom.

It has space group P4/mmm (No. 123), with a = 3.869 Å, b = 3.869 Å, c = 3.950 Å, α = 90.00°, β = 90.00° and γ = 90.00°. Symmetry generates all atoms from Be at (0.000, 0.000, 0.000), Cu at (0.000, 0.000, 0.500), Ni at (0.000, 0.500, 0.000) and Ru at (0.500, 0.500, 0.500).